Entry 1:
A relaxed structure of Rb3ZrCl8. Source: Alexandria, functional PBE.

The total magnetic moment is 2.21 μB/cell. As for the formation energy (no corrections): -1.6366 eV per atom.

The structure belongs to space group I-42m (No. 121); the cell edges are 8.160, 8.160 and 11.942 Å and the angles 90.00°, 90.00° and 90.00°. The distinct sites, in fractional coordinates, are Rb at (0.000, 0.000, 0.000), Rb at (0.000, 0.500, 0.250), Zr at (0.000, 0.000, 0.500), Cl at (0.128, 0.128, 0.312) and Cl at (0.217, 0.217, 0.555).

Entry 2:
A relaxed structure of InCuAs2Se. Source: Alexandria, functional PBE.

The total magnetic moment is 0.00 μB/cell. The energy relative to the lowest polymorph listed for this composition comes out at 0 meV/atom. As for the formation energy (no corrections): 0.4298 eV per atom.

The structure belongs to space group P4/mmm (No. 123); the cell edges are 4.740, 4.740 and 5.091 Å and the angles 90.00°, 90.00° and 90.00°. The distinct sites, in fractional coordinates, are In at (0.000, 0.000, 0.000), Cu at (0.500, 0.500, 0.500), As at (0.000, 0.500, 0.500) and Se at (0.500, 0.500, 0.000).

Entry 3:
A relaxed structure of Pr6ScSe8. Source: Alexandria, functional PBE.

The total magnetic moment is 0.00 μB/cell. As for the formation energy (no corrections): -1.7484 eV per atom.

The structure belongs to space group R-3 (No. 148, hexagonal axes); the cell edges are 8.8007, 8.8007 and 18.1164 Å and the angles 90.00°, 90.00° and 120.00°. The distinct sites, in fractional coordinates, are Pr at (0.0041, 0.6153, 0.0833), Sc at (0.0000, 0.0000, 0.0000), Se at (0.0000, 0.0000, 0.3265) and Se at (0.0041, 0.2628, 0.0859).

Entry 4:
A relaxed structure of YHg. Source: Alexandria, functional PBE.

The total magnetic moment is 0.00 μB/cell. The energy of formation from the pure elements is -76 kJ/mol of formula units.

The structure belongs to space group C2/m (No. 12); the cell edges are 11.694, 3.675 and 5.173 Å and the angles 90.00°, 107.40° and 90.00°. The distinct sites, in fractional coordinates, are Y at (0.117, 0.000, 0.323) and Hg at (0.138, 0.500, 0.829).

Entry 5:
A relaxed structure of KReTeN2. Source: Alexandria, functional PBE.

The total magnetic moment is 0.00 μB/cell. The energy relative to the lowest polymorph listed for this composition comes out at 2859 meV/atom. As for the formation energy (no corrections): 3.3744 eV per atom.

The structure belongs to space group P4/mmm (No. 123); the cell edges are 4.141, 4.141 and 5.843 Å and the angles 90.00°, 90.00° and 90.00°. The distinct sites, in fractional coordinates, are K at (0.000, 0.000, 0.000), Re at (0.500, 0.500, 0.500), Te at (0.000, 0.000, 0.500) and N at (0.000, 0.500, 0.000).

Entry 6:
A relaxed structure of Ce4C3. Source: Alexandria, functional PBE.

The total magnetic moment is 0.01 μB/cell. The energy of formation from the pure elements is -50 kJ/mol of formula units. The energy relative to the lowest polymorph listed for this composition comes out at 60 meV/atom.

The structure belongs to space group I-43d (No. 220); the cell edges are 7.824, 7.824 and 7.824 Å and the angles 90.00°, 90.00° and 90.00°. The distinct sites, in fractional coordinates, are Ce at (0.062, 0.438, 0.562) and C at (0.000, 0.250, 0.875).